Computed, not measured: a relaxed structure of HfZr5Sn2 at the PBE-GGA level of DFT.

Cell lengths 3.237, 7.749, 7.749 Å; angles 80.25, 77.94, 77.94 degrees
Positions (direct):
Zr 0.630 0.145 0.595
Sn 0.265 0.235 0.235
Sn 0.735 0.765 0.765
Zr 0.630 0.595 0.145
Zr 0.370 0.855 0.405
Zr 0.000 0.500 0.500
Zr 0.370 0.405 0.855
Hf 0.000 0.000 0.000

Results
density	7.858	g cm⁻³
calculated formation energy	-136	kJ/mol of formula units
space group	Immm (71)